First-principles (GGA-PBE) data for a relaxed AgTe2Pb crystal, as listed in Alexandria.

Lattice parameters (Å, degrees): 7.6321 7.6321 7.6321 90.00 90.00 90.00
Space group F-43m (No. 216)
One atom of each set of equivalent atoms:
Ag (0.0000, 0.0000, 0.0000) x4
Te (0.0000, 0.0000, 0.5000) x4
Te (0.2500, 0.2500, 0.7500) x4
Pb (0.2500, 0.2500, 0.2500) x4

Calculated values
The formation energy (no corrections) comes out at 19.3 kJ per mole of atoms. For the magnetic moment, the calculation gives 0.000 Bohr magnetons per cell.